The following is a DFT calculation (PBE with a Hubbard U) of a relaxed structure of AcEr2MoO8.

Results
- Uncorrected energy: -7.682 eV/atom
- Spin magnetization: 0.04 μB/atom
- Density of states at the Fermi level: 3.98 states/eV per cell

Cell and atoms, written as POSCAR:
```
AcEr2MoO8
1.0
3.539 -3.561 0.000
3.539 3.561 0.000
0.000 0.000 7.125
Ac Er Mo O
1 2 1 8
direct
0.000 0.000 0.000
0.500 0.500 0.267
0.500 0.500 0.733
0.000 0.000 0.500
0.187 0.813 0.301
0.187 0.813 0.699
0.279 0.279 0.500
0.330 0.330 0.000
0.670 0.670 0.000
0.721 0.721 0.500
0.813 0.187 0.301
0.813 0.187 0.699
```